Record 1
Crystalline DyTm3Sn2C2 at its relaxed geometry, computed with PBE.

Geometry as extended XYZ:
```
8
Lattice="3.579 0.000 0.000 -1.789 3.099 0.000 0.000 0.000 15.677" Properties=species:S:1:pos:R:3 pbc="T T T"
Dy 0.000 0.000 0.000
Tm 0.000 0.000 5.214
Tm 0.000 2.066 7.828
Tm 0.000 2.066 13.023
Sn 0.000 0.000 10.427
Sn 0.000 2.066 2.633
C 1.789 1.033 6.523
C 1.789 1.033 14.325
```

## Properties
Final energy, eV/atom: -6.1387

Record 2
Crystalline ScBeTcMo at its relaxed geometry, computed with PBE.

Geometry as extended XYZ:
```
16
Lattice="6.183 0.000 0.000 0.000 6.183 0.000 0.000 0.000 6.183" Properties=species:S:1:pos:R:3 pbc="T T T"
Sc 0.000 0.000 0.000
Sc 0.000 3.091 3.091
Sc 3.091 0.000 3.091
Sc 3.091 3.091 0.000
Be 1.546 1.546 1.546
Be 1.546 4.637 4.637
Be 4.637 1.546 4.637
Be 4.637 4.637 1.546
Tc 0.000 0.000 3.091
Tc 0.000 3.091 0.000
Tc 3.091 0.000 0.000
Tc 3.091 3.091 3.091
Mo 1.546 1.546 4.637
Mo 1.546 4.637 1.546
Mo 4.637 1.546 1.546
Mo 4.637 4.637 4.637
```

## Properties
Excess energy over the best structure of this formula in the dataset, meV per atom: 0

Number 1: total magnetization 0.00 μB per atom. Number 2: total magnetization 0.00 μB per atom.